Material: Dy4InPd
Method: DFT, GGA-PBE
State: relaxed

Unit cell a=8.797 b=13.022 c=6.107 alpha=90.00 beta=107.43 gamma=90.00
Space group C2/c (No. 15)
Asymmetric unit:
Dy 0.112 0.174 0.052
Dy 0.210 0.416 0.390
In 0.000 0.378 0.750
Pd 0.000 0.001 0.750

Summary:
The value obtained for the polymorph energy (0 for the lowest one) is 101 meV/atom. As for the magnetic moment: 0.000 μB/f.u. The density of states at the Fermi level comes out at 1.07 states/eV/atom. Its formation energy is -415 meV per atom. The crystal system is monoclinic. The total energy comes out at -4.805 eV per atom.


Material: Dy3In2Pd6
Method: DFT, GGA-PBE
State: relaxed

Unit cell a=9.678 b=9.678 c=9.678 alpha=90.00 beta=90.00 gamma=90.00
Space group Im-3m (No. 229)
Asymmetric unit:
Dy 0.000 0.000 0.294
In 0.250 0.250 0.250
Pd 0.000 0.345 0.345

Summary:
As for the magnetic moment: 0.000 μB/f.u. The density of states at the Fermi level comes out at 0.50 states/eV/atom. Its formation energy is -760 meV per atom. The crystal system is cubic. The total energy comes out at -5.346 eV per atom.


Material: DyIn4Pd15
Method: DFT, GGA-PBE
State: relaxed

Unit cell a=4.067 b=4.067 c=20.181 alpha=90.00 beta=90.00 gamma=90.00
Space group P4/mmm (No. 123)
Asymmetric unit:
Dy 0.000 0.000 0.000
In 0.000 0.000 0.204
In 0.000 0.000 0.401
Pd 0.000 0.500 0.104
Pd 0.000 0.500 0.302
Pd 0.000 0.500 0.500
Pd 0.500 0.500 0.000
Pd 0.500 0.500 0.202
Pd 0.500 0.500 0.401

Summary:
As for the magnetic moment: 0.000 μB/f.u. The density of states at the Fermi level comes out at 0.89 states/eV/atom. Its formation energy is -519 meV per atom. The crystal system is tetragonal. The total energy comes out at -5.191 eV per atom.


Material: Dy3In3Pd2
Method: DFT, GGA-PBE
State: relaxed

Unit cell a=16.991 b=4.559 c=5.037 alpha=90.00 beta=103.04 gamma=90.00
Space group C2/m (No. 12)
Asymmetric unit:
Dy 0.000 0.000 0.000
Dy 0.156 0.000 0.610
In 0.000 0.500 0.500
In 0.137 0.500 0.105
Pd 0.232 0.000 0.165

Summary:
As for the magnetic moment: 0.000 μB/f.u. The density of states at the Fermi level comes out at 0.66 states/eV/atom. Its formation energy is -633 meV per atom. The crystal system is monoclinic. The total energy comes out at -4.684 eV per atom.